Record 1
First-principles (PBE-GGA) data for a relaxed KLi2Tl2Te2 crystal, as listed in Alexandria via LeMat-Bulk.

a b c (Å): 4.725 4.725 11.547
angles (deg): 78.19 78.19 60.00
Atoms (fractional coordinates):
Te 0.737 0.737 0.788
K 0.000 0.000 0.000
Te 0.263 0.263 0.212
Li 0.583 0.583 0.251
Tl 0.861 0.861 0.417
Tl 0.139 0.139 0.583
Li 0.417 0.417 0.749

Computed properties:
Raw formation energy: -0.64 eV per atom

---

Record 2
First-principles (PBE-GGA) data for a relaxed KLiTlTe crystal, as listed in Alexandria via LeMat-Bulk.

a b c (Å): 4.701 4.701 11.910
angles (deg): 90.00 90.00 90.00
Atoms (fractional coordinates):
K 0.250 0.250 0.776
Te 0.250 0.250 0.134
Tl 0.750 0.250 0.500
Li 0.750 0.250 0.000
Te 0.750 0.750 0.866
Li 0.250 0.750 0.000
K 0.750 0.750 0.224
Tl 0.250 0.750 0.500

Computed properties:
Raw formation energy: -0.67 eV per atom

---

Record 3
First-principles (PBE-GGA) data for a relaxed KLiTm2Te4 crystal, as listed in Alexandria via LeMat-Bulk.

a b c (Å): 4.426 7.729 15.583
angles (deg): 90.00 90.00 106.64
Atoms (fractional coordinates):
Te 0.563 0.127 0.250
Te 0.733 0.465 0.607
Te 0.267 0.535 0.393
Tm 0.633 0.266 0.065
K 0.115 0.230 0.750
Li 0.836 0.671 0.750
Tm 0.367 0.734 0.935
Tm 0.633 0.266 0.435
Li 0.164 0.329 0.250
Tm 0.367 0.734 0.565
Te 0.437 0.873 0.750
Te 0.267 0.535 0.107
Te 0.733 0.465 0.893
Te 0.000 0.000 0.500
Te 0.000 0.000 0.000
K 0.885 0.770 0.250

Computed properties:
Raw formation energy: -1.29 eV per atom

---

Record 4
First-principles (PBE-GGA) data for a relaxed KLi2U2Te6 crystal, as listed in Alexandria via LeMat-Bulk.

a b c (Å): 7.849 9.899 8.480
angles (deg): 129.55 106.52 48.76
Last column: magnetic moment on the atom in μB.
Atoms (fractional coordinates):
U 0.837 0.335 0.837  1.85
Te 0.713 0.165 0.413  -0.08
Li 0.210 0.605 0.630  0.00
Li 0.790 0.395 0.370  0.00
Te 0.338 0.781 0.032  -0.09
Te 0.956 0.542 0.780  -0.08
U 0.163 0.665 0.163  1.85
K 0.500 0.000 0.500  0.00
Te 0.662 0.219 0.968  -0.09
Te 0.287 0.835 0.587  -0.08
Te 0.044 0.458 0.220  -0.08

Computed properties:
Raw formation energy: -0.76 eV per atom

---

Record 5
First-principles (PBE-GGA) data for a relaxed KLiUTe3 crystal, as listed in Alexandria via LeMat-Bulk.

a b c (Å): 4.509 9.663 10.208
angles (deg): 106.90 90.00 90.00
Last column: magnetic moment on the atom in μB.
Atoms (fractional coordinates):
K 0.750 0.795 0.746  0.00
Te 0.250 0.781 0.461  -0.06
Te 0.750 0.219 0.539  -0.06
K 0.250 0.205 0.254  0.00
Li 0.250 0.081 0.594  0.00
Te 0.250 0.117 0.874  -0.07
U 0.250 0.680 0.155  2.21
U 0.750 0.320 0.845  2.21
Li 0.750 0.919 0.406  0.00
Te 0.250 0.539 0.839  -0.08
Te 0.750 0.461 0.161  -0.08
Te 0.750 0.883 0.126  -0.07

Computed properties:
Raw formation energy: -0.89 eV per atom

---

Record 6
First-principles (PBE-GGA) data for a relaxed K2Li2UTe4 crystal, as listed in Alexandria via LeMat-Bulk.

a b c (Å): 4.553 8.351 8.556
angles (deg): 109.41 105.43 90.00
Last column: magnetic moment on the atom in μB.
Atoms (fractional coordinates):
Te 0.197 0.183 0.394  -0.04
K 0.137 0.566 0.275  0.00
U 0.000 0.000 0.000  2.22
Li 0.681 0.989 0.363  0.00
K 0.863 0.434 0.725  0.00
Te 0.514 0.760 0.028  -0.06
Te 0.486 0.240 0.972  -0.06
Li 0.319 0.011 0.637  0.00
Te 0.803 0.817 0.606  -0.04

Computed properties:
Raw formation energy: -0.98 eV per atom

---

Record 7
First-principles (PBE-GGA) data for a relaxed K3LiU2Te6 crystal, as listed in Alexandria via LeMat-Bulk.

a b c (Å): 7.828 7.828 8.558
angles (deg): 98.75 98.75 120.00
Last column: magnetic moment on the atom in μB.
Atoms (fractional coordinates):
Li 0.000 0.000 0.000  0.00
U 0.667 0.333 0.000  2.23
Te 0.931 0.590 0.795  -0.07
Te 0.069 0.410 0.205  -0.07
Te 0.590 0.931 0.795  -0.07
Te 0.273 0.273 0.796  -0.07
K 0.837 0.163 0.500  0.00
K 0.500 0.500 0.500  0.00
K 0.163 0.837 0.500  0.00
Te 0.410 0.069 0.205  -0.07
U 0.333 0.667 0.000  2.23
Te 0.727 0.727 0.204  -0.07

Computed properties:
Raw formation energy: -0.91 eV per atom

---

Record 8
First-principles (PBE-GGA) data for a relaxed K3LiU3Te8 crystal, as listed in Alexandria via LeMat-Bulk.

a b c (Å): 8.932 8.891 9.756
angles (deg): 117.11 90.18 119.85
Last column: magnetic moment on the atom in μB.
Atoms (fractional coordinates):
Li 0.000 0.000 0.500  0.00
Te 0.238 0.478 0.702  0.00
Te 0.263 0.525 0.288  -0.03
Te 0.762 0.038 0.298  0.00
Te 0.725 0.964 0.702  -0.07
Te 0.238 0.962 0.702  0.00
U 0.000 0.500 0.500  -2.11
K 0.000 0.500 0.000  0.00
Te 0.762 0.522 0.298  0.00
Te 0.737 0.475 0.712  -0.03
Te 0.275 0.036 0.298  -0.07
U 0.500 0.500 0.500  2.23
U 0.500 0.000 0.500  2.23
K 0.000 0.000 0.000  0.00
K 0.500 0.500 0.000  0.00

Computed properties:
Raw formation energy: -0.82 eV per atom

---

Record 9
First-principles (PBE-GGA) data for a relaxed KLiVTe3 crystal, as listed in Alexandria via LeMat-Bulk.

a b c (Å): 4.058 8.664 10.722
angles (deg): 112.37 90.00 90.00
Last column: magnetic moment on the atom in μB.
Atoms (fractional coordinates):
K 0.250 0.269 0.293  0.00
Te 0.250 0.543 0.883  -0.13
K 0.750 0.731 0.707  0.00
V 0.750 0.301 0.836  1.56
Te 0.750 0.265 0.574  -0.08
Te 0.250 0.106 0.865  -0.12
Te 0.750 0.457 0.117  -0.13
Te 0.250 0.735 0.426  -0.08
V 0.250 0.699 0.164  1.56
Li 0.750 0.927 0.395  -0.01
Te 0.750 0.894 0.135  -0.12
Li 0.250 0.073 0.605  -0.01

Computed properties:
Raw formation energy: -0.64 eV per atom

---

Record 10
First-principles (PBE-GGA) data for a relaxed KLiY2Te4 crystal, as listed in Alexandria via LeMat-Bulk.

a b c (Å): 4.472 7.795 15.703
angles (deg): 90.00 90.00 106.67
Atoms (fractional coordinates):
Te 0.732 0.465 0.609
K 0.886 0.772 0.250
Te 0.000 0.000 0.000
Y 0.367 0.733 0.936
Li 0.163 0.326 0.250
Y 0.367 0.733 0.564
K 0.114 0.228 0.750
Te 0.268 0.535 0.109
Y 0.633 0.267 0.436
Y 0.633 0.267 0.064
Te 0.000 0.000 0.500
Te 0.732 0.465 0.891
Li 0.837 0.674 0.750
Te 0.268 0.535 0.391
Te 0.437 0.873 0.750
Te 0.563 0.127 0.250

Computed properties:
Raw formation energy: -1.33 eV per atom

---

Record 11
First-principles (PBE-GGA) data for a relaxed KLiZnTe2 crystal, as listed in Alexandria via LeMat-Bulk.

a b c (Å): 4.471 7.575 9.786
angles (deg): 78.79 76.79 72.83
Atoms (fractional coordinates):
K 0.821 0.719 0.638
Li 0.645 0.638 0.072
Li 0.355 0.362 0.928
Te 0.837 0.248 0.079
Te 0.451 0.767 0.332
Zn 0.031 0.119 0.819
Te 0.549 0.233 0.668
Te 0.163 0.752 0.921
Zn 0.969 0.881 0.181
K 0.179 0.281 0.362

Computed properties:
Raw formation energy: -0.83 eV per atom

---

Record 12
First-principles (PBE-GGA) data for a relaxed K3LiZr2Te6 crystal, as listed in Alexandria via LeMat-Bulk.

a b c (Å): 7.522 7.522 8.530
angles (deg): 98.44 98.44 120.07
Atoms (fractional coordinates):
Te 0.587 0.933 0.800
Te 0.280 0.280 0.803
Li 0.000 0.000 0.000
Te 0.413 0.067 0.200
Te 0.067 0.413 0.200
Te 0.720 0.720 0.197
K 0.838 0.162 0.500
Zr 0.668 0.332 0.000
Te 0.933 0.587 0.800
Zr 0.332 0.668 0.000
K 0.162 0.838 0.500
K 0.500 0.500 0.500

Computed properties:
Raw formation energy: -0.99 eV per atom

---

| no. | V (A^3/atom) | VASP energy (eV per atom) |
| --- | --- | --- |
| 1 | 31.0 | -2.918 |
| 2 | 32.9 | -2.797 |
| 3 | 31.9 | -4.352 |
| 4 | 33.8 | -4.970 |
| 5 | 35.5 | -4.846 |
| 6 | 32.7 | -4.296 |
| 7 | 36.0 | -4.798 |
| 8 | 38.1 | -5.098 |
| 9 | 29.0 | -4.230 |
| 10 | 32.8 | -4.896 |
| 11 | 30.5 | -2.947 |
| 12 | 33.3 | -4.420 |